P) The following is a PBE-GGA calculation of crystalline Tb3Pr4Tm2 at its relaxed geometry, from the Alexandria database.

The structure in POSCAR format:
```
Tb3Pr4Tm2
1.0
-4.5438 0.1492 5.4584
7.5013 -1.4305 6.2810
4.8513 7.7202 3.8250
Tb Pr Tm
6 8 4
Direct
0.7500 0.1724 0.1723
0.7500 0.8277 0.8276
0.2500 0.8276 0.8277
0.2500 0.1723 0.1724
0.2500 0.5000 0.5000
0.7500 0.5000 0.5000
0.5000 0.8454 0.1759
0.0000 0.8241 0.1546
0.5000 0.1546 0.8241
0.0000 0.1759 0.8454
0.0001 0.1575 0.5185
0.4999 0.4815 0.8425
0.9999 0.8425 0.4815
0.5001 0.5185 0.1575
0.5001 0.1745 0.4828
0.9999 0.5172 0.8255
0.4999 0.8255 0.5172
0.0001 0.4828 0.1745
```

Theoretical density   7636 kg/m3
Magnetic moment   0.0000 μB/atom
Space-group type   No. 66


Q) The following is a PBE-GGA calculation of crystalline Tb3Pr4Tm2 at its relaxed geometry, from the Alexandria database.

The structure in POSCAR format:
```
Tb3Pr4Tm2
1.0
3.6667 0.0000 0.0000
-1.8334 6.3173 1.3433
0.0000 3.7093 14.0810
Tb Pr Tm
3 4 2
Direct
0.3794 0.7588 0.6122
0.0000 0.0000 0.0000
0.6206 0.2412 0.3878
0.6496 0.2993 0.1280
0.1081 0.2163 0.6090
0.8919 0.7837 0.3910
0.3504 0.7007 0.8720
0.3389 0.6778 0.2088
0.6611 0.3222 0.7912
```

Theoretical density   7433 kg/m3
Magnetic moment   0.0000 μB/atom
Space-group type   No. 12


Energy ordering: P) at the bottom, the next structure 28 meV/atom above.


P) The following is a PBE-GGA calculation of crystalline Tb7PrTm12 at its relaxed geometry, from the Alexandria database.

The structure in POSCAR format:
```
Tb7PrTm12
1.0
-7.2654 -3.8062 -2.6449
4.2564 -7.3511 1.4539
-2.5808 1.0425 8.1561
Tb Pr Tm
7 1 12
Direct
0.9202 0.6487 0.9881
0.3513 0.0119 0.0798
0.0119 0.0798 0.3513
0.5000 0.5000 0.5000
0.9881 0.9202 0.6487
0.6487 0.9881 0.9202
0.0798 0.3513 0.0119
0.0000 0.0000 0.0000
0.8076 0.2512 0.6763
0.7488 0.3237 0.1924
0.4754 0.1450 0.4123
0.8550 0.5877 0.5246
0.3237 0.1924 0.7488
0.5877 0.5246 0.8550
0.4123 0.4754 0.1450
0.6763 0.8076 0.2512
0.1450 0.4123 0.4754
0.5246 0.8550 0.5877
0.2512 0.6763 0.8076
0.1924 0.7488 0.3237
```

Theoretical density   8627 kg/m3
Magnetic moment   0.0000 μB/atom
Space-group type   No. 148


Q) The following is a PBE-GGA calculation of crystalline Tb7PrTm12 at its relaxed geometry, from the Alexandria database.

The structure in POSCAR format:
```
Tb7PrTm12
1.0
9.1009 0.0000 -3.2177
-4.5505 7.8816 -3.2177
0.0000 0.0000 9.6530
Tb Pr Tm
7 1 12
Direct
0.5000 0.5000 0.0000
0.0000 0.5000 0.5000
0.5000 0.0000 0.5000
0.5000 0.5000 0.5000
0.0000 0.0000 0.5000
0.5000 0.0000 0.0000
0.0000 0.5000 0.0000
0.0000 0.0000 0.0000
0.4904 0.7453 0.7451
0.0002 0.7453 0.2549
0.5096 0.2547 0.2549
0.9998 0.2547 0.7451
0.7451 0.9998 0.2547
0.7451 0.4904 0.7453
0.2549 0.0002 0.7453
0.2549 0.5096 0.2547
0.7453 0.7451 0.4904
0.2547 0.2549 0.5096
0.7453 0.2549 0.0002
0.2547 0.7451 0.9998
```

Theoretical density   7868 kg/m3
Magnetic moment   0.0000 μB/atom
Space-group type   No. 229


Energy ordering: P) at the bottom, the next structure 402 meV/atom above.


P) The following is a PBE-GGA calculation of crystalline Tb5Pr4Tm at its relaxed geometry, from the Alexandria database.

The structure in POSCAR format:
```
Tb5Pr4Tm
1.0
6.0571 0.0000 0.0000
3.0285 7.5529 0.0000
3.0285 0.0000 7.5529
Tb Pr Tm
5 4 1
Direct
0.7724 0.3762 0.0002
0.1486 0.0002 0.6238
0.7726 0.9998 0.3762
0.1488 0.6238 0.9998
0.6932 0.0000 0.0000
0.4391 0.3229 0.6769
0.7620 0.6769 0.6771
0.1160 0.3231 0.3229
0.4390 0.6771 0.3231
0.2185 0.0000 0.0000
```

Theoretical density   7339 kg/m3
Magnetic moment   0.0000 μB/atom
Space-group type   No. 107


Q) The following is a PBE-GGA calculation of crystalline Tb5Pr4Tm at its relaxed geometry, from the Alexandria database.

The structure in POSCAR format:
```
Tb5Pr4Tm
1.0
3.4673 0.0000 -0.7926
-0.0404 11.3289 -0.1769
0.1923 0.1685 8.8210
Tb Pr Tm
5 4 1
Direct
0.1725 0.9509 0.3449
0.1734 0.5515 0.3467
0.8266 0.4485 0.6533
0.5000 0.5000 0.0000
0.8275 0.0491 0.6551
0.6581 0.2503 0.3162
0.0313 0.7512 0.0626
0.3419 0.7497 0.6838
0.9687 0.2488 0.9374
0.5000 0.0000 0.0000
```

Theoretical density   7280 kg/m3
Magnetic moment   0.0000 μB/atom
Space-group type   No. 12


Energy ordering: Q) at the bottom, the next structure 43 meV/atom above.


P) The following is a PBE-GGA calculation of crystalline TbPrTm5 at its relaxed geometry, from the Alexandria database.

The structure in POSCAR format:
```
TbPrTm5
1.0
-0.6865 -2.2102 6.2818
4.7586 -3.9524 2.5595
8.2131 5.0501 9.6508
Tb Pr Tm
2 2 10
Direct
0.0000 0.0000 0.0000
0.0000 0.0000 0.5000
0.7246 0.2754 0.7500
0.2754 0.7246 0.2500
0.1709 0.3922 0.7478
0.6361 0.7014 0.5017
0.3922 0.1709 0.2478
0.1584 0.8416 0.7500
0.2986 0.3639 0.9983
0.7014 0.6361 0.0017
0.8416 0.1584 0.2500
0.6078 0.8291 0.7522
0.3639 0.2986 0.4983
0.8291 0.6078 0.2522
```

Theoretical density   8542 kg/m3
Magnetic moment   0.0000 μB/atom
Space-group type   No. 15


Q) The following is a PBE-GGA calculation of crystalline TbPrTm5 at its relaxed geometry, from the Alexandria database.

The structure in POSCAR format:
```
TbPrTm5
1.0
-2.1932 1.4345 -5.5600
-2.5699 -7.4959 -0.9202
-2.7218 4.4871 5.6290
Tb Pr Tm
1 1 5
Direct
0.9416 0.0000 0.0000
0.6968 0.5000 0.0000
0.1826 0.2572 0.5143
0.1693 0.5000 0.0000
0.6683 0.7428 0.4857
0.4360 0.8200 0.0000
0.4360 0.1800 0.0000
```

Theoretical density   6659 kg/m3
Magnetic moment   0.0000 μB/atom
Space-group type   No. 44


Energy ordering: P) at the bottom, the next structure 813 meV/atom above.


P) The following is a PBE-GGA calculation of crystalline Tb6PrTm2 at its relaxed geometry, from the Alexandria database.

The structure in POSCAR format:
```
Tb6PrTm2
1.0
3.5444 0.3213 0.2205
-0.1651 6.0556 -6.2621
0.9334 0.7214 12.7579
Tb Pr Tm
6 1 2
Direct
0.8893 0.5572 0.2217
0.1107 0.4428 0.7783
0.6678 0.6639 0.6645
0.7787 0.1083 0.4433
0.2213 0.8917 0.5567
0.3322 0.3361 0.3355
0.0000 0.0000 0.0000
0.4443 0.7751 0.1113
0.5557 0.2249 0.8887
```

Theoretical density   8277 kg/m3
Magnetic moment   0.0000 μB/atom
Space-group type   No. 12


Q) The following is a PBE-GGA calculation of crystalline Tb6PrTm2 at its relaxed geometry, from the Alexandria database.

The structure in POSCAR format:
```
Tb6PrTm2
1.0
7.3478 0.0000 0.0000
3.6739 6.3634 0.0000
3.6739 2.1211 6.3937
Tb Pr Tm
6 1 2
Direct
0.7816 0.2611 0.6961
0.2612 0.7816 0.6961
0.2611 0.2612 0.6961
0.0473 0.6141 0.2912
0.0474 0.0473 0.2912
0.6141 0.0474 0.2912
0.3179 0.3179 0.0462
0.7557 0.7557 0.7330
0.5794 0.5794 0.2620
```

Theoretical density   7956 kg/m3
Magnetic moment   0.0001 μB/atom
Space-group type   No. 160


Energy ordering: P) at the bottom, the next structure 325 meV/atom above.


P) The following is a PBE-GGA calculation of crystalline Tb7Pr2Tm3 at its relaxed geometry, from the Alexandria database.

The structure in POSCAR format:
```
Tb7Pr2Tm3
1.0
3.5221 0.0000 0.0000
0.0000 6.2912 0.8377
0.0000 2.1410 17.8035
Tb Pr Tm
7 2 3
Direct
0.5000 0.2409 0.5016
0.5000 0.7591 0.4984
0.0000 0.5627 0.1623
0.0000 0.0000 0.0000
0.0000 0.4373 0.8377
0.5000 0.9370 0.8325
0.5000 0.0630 0.1675
0.5000 0.6138 0.3274
0.5000 0.3862 0.6726
0.5000 0.5000 0.0000
0.0000 0.1103 0.3427
0.0000 0.8897 0.6573
```

Theoretical density   8132 kg/m3
Magnetic moment   0.0000 μB/atom
Space-group type   No. 10


Q) The following is a PBE-GGA calculation of crystalline Tb7Pr2Tm3 at its relaxed geometry, from the Alexandria database.

The structure in POSCAR format:
```
Tb7Pr2Tm3
1.0
-0.3156 -1.4750 -3.2619
-0.2197 -5.2560 2.3980
-18.6232 2.4805 0.6802
Tb Pr Tm
7 2 3
Direct
0.5000 0.7415 0.4626
0.5000 0.2585 0.5374
0.0000 0.6769 0.1411
0.0000 0.0000 0.0000
0.0000 0.3231 0.8589
0.5000 0.8203 0.8247
0.5000 0.1797 0.1753
0.5000 0.7056 0.2949
0.5000 0.2944 0.7051
0.5000 0.5000 0.0000
0.0000 0.2212 0.3711
0.0000 0.7788 0.6289
```

Theoretical density   8100 kg/m3
Magnetic moment   0.0000 μB/atom
Space-group type   No. 10


Energy ordering: P) at the bottom, the next structure 14 meV/atom above.


P) The following is a PBE-GGA calculation of crystalline Tb4Pr6Tm at its relaxed geometry, from the Alexandria database.

The structure in POSCAR format:
```
Tb4Pr6Tm
1.0
-0.4529 1.1041 6.7493
1.9522 -6.4618 1.1881
7.1346 5.0857 -3.8334
Tb Pr Tm
4 6 1
Direct
0.0620 0.7124 0.7744
0.9380 0.9380 0.2256
0.7124 0.0620 0.7744
0.2876 0.2876 0.2256
0.8701 0.4868 0.3569
0.4868 0.8701 0.3569
0.5132 0.5132 0.6431
0.0000 0.5000 0.0000
0.1299 0.1299 0.6431
0.5000 0.0000 0.0000
0.5000 0.5000 0.0000
```

Theoretical density   7075 kg/m3
Magnetic moment   0.0000 μB/atom
Space-group type   No. 121


Q) The following is a PBE-GGA calculation of crystalline Tb4Pr6Tm at its relaxed geometry, from the Alexandria database.

The structure in POSCAR format:
```
Tb4Pr6Tm
1.0
7.5917 -3.1233 -5.6816
-5.2884 8.2040 2.0971
-2.0133 3.1233 9.2661
Tb Pr Tm
4 6 1
Direct
0.0000 0.6402 0.0106
0.3704 0.3598 0.3598
0.0000 0.0106 0.6402
0.6296 0.9894 0.9894
0.0000 0.8143 0.4566
0.0000 0.4566 0.8143
0.3577 0.5434 0.5434
0.5000 0.5000 0.0000
0.6423 0.1857 0.1857
0.5000 0.0000 0.5000
0.0000 0.0000 0.0000
```

Theoretical density   7071 kg/m3
Magnetic moment   0.0000 μB/atom
Space-group type   No. 121


Energy ordering: Q) at the bottom, the next structure 8 meV/atom above.


P) The following is a PBE-GGA calculation of crystalline TbPr4Tm7 at its relaxed geometry, from the Alexandria database.

The structure in POSCAR format:
```
TbPr4Tm7
1.0
5.8805 0.0000 0.0000
2.9402 11.3050 -0.3076
2.9402 0.1895 6.0463
Tb Pr Tm
1 4 7
Direct
0.0000 0.0000 0.0000
0.6390 0.2222 0.4999
0.3610 0.7778 0.5001
0.7830 0.6616 0.7724
0.2170 0.3384 0.2276
0.7884 0.9236 0.4996
0.2116 0.0764 0.5004
0.0711 0.6913 0.1666
0.9289 0.3087 0.8334
0.3678 0.4932 0.7713
0.5000 0.0000 0.0000
0.6322 0.5068 0.2287
```

Theoretical density   7864 kg/m3
Magnetic moment   0.0001 μB/atom
Space-group type   No. 12


Q) The following is a PBE-GGA calculation of crystalline TbPr4Tm7 at its relaxed geometry, from the Alexandria database.

The structure in POSCAR format:
```
TbPr4Tm7
1.0
-6.1044 3.6302 -0.5821
-3.2731 2.6199 6.8029
5.3364 5.7729 1.2990
Tb Pr Tm
1 4 7
Direct
0.0000 0.0000 0.0000
0.5005 0.6645 0.3308
0.4995 0.3355 0.6692
0.7521 0.8305 0.6679
0.2479 0.1695 0.3321
0.7493 0.5011 0.9987
0.2507 0.4989 0.0013
0.0025 0.3301 0.6701
0.9975 0.6699 0.3299
0.2495 0.8351 0.6685
0.5000 0.0000 0.0000
0.7505 0.1649 0.3315
```

Theoretical density   8210 kg/m3
Magnetic moment   0.0000 μB/atom
Space-group type   No. 2


Energy ordering: Q) at the bottom, the next structure 241 meV/atom above.


P) The following is a PBE-GGA calculation of crystalline TbPrTm2 at its relaxed geometry, from the Alexandria database.

The structure in POSCAR format:
```
TbPrTm2
1.0
-2.0644 1.4068 -2.5527
-1.4206 -3.2171 -0.6241
-7.1528 1.8395 6.7983
Pr Tm Tb
1 2 1
Direct
0.5000 0.5000 0.5000
0.0000 0.0000 0.7552
0.0000 0.0000 0.2448
0.5000 0.5000 0.0000
```

Theoretical density   8269 kg/m3
Magnetic moment   0.0000 μB/atom
Space-group type   No. 123


Q) The following is a PBE-GGA calculation of crystalline TbPrTm2 at its relaxed geometry, from the Alexandria database.

The structure in POSCAR format:
```
TbPrTm2
1.0
3.5700 0.0730 0.2395
-1.7838 2.9277 -1.0291
0.9841 0.4227 11.9644
Tb Pr Tm
1 1 2
Direct
0.0227 0.7525 0.5515
0.0234 0.2529 0.0515
0.3570 0.1721 0.3049
0.6895 0.3336 0.7982
```

Theoretical density   8324 kg/m3
Magnetic moment   0.0000 μB/atom
Space-group type   No. 164


R) The following is a PBE-GGA calculation of crystalline TbPrTm2 at its relaxed geometry, from the Alexandria database.

The structure in POSCAR format:
```
TbPrTm2
1.0
7.2604 0.0000 0.0000
0.0000 6.1260 -1.4178
0.0000 -3.5780 12.4785
Tb Pr Tm
4 4 8
Direct
0.4992 0.0402 0.3744
0.5008 0.9598 0.6256
0.4992 0.4598 0.1256
0.5008 0.5402 0.8744
0.2492 0.4551 0.6217
0.7508 0.5449 0.3783
0.2492 0.0449 0.8783
0.7508 0.9551 0.1217
0.7524 0.0413 0.8726
0.2476 0.9587 0.1274
0.7524 0.4587 0.6274
0.2476 0.5413 0.3726
0.0007 0.4602 0.1255
0.9993 0.5398 0.8745
0.0007 0.0398 0.3745
0.9993 0.9602 0.6255
```

Theoretical density   8174 kg/m3
Magnetic moment   0.0000 μB/atom
Space-group type   No. 13


Energy ordering: Q) at the bottom, the next structure 8 meV/atom above.